An optimized crystal structure of Be3Al, computed with GGA-PBEsol.

Mass density, g cm⁻³: 2.12
V, Å³/atom: 10.574
D(E_F), states/eV/f.u.: 1.3
Crystal system: trigonal
ΔE_f, eV per atom: 0.4257

```
Be3Al
1.0
3.8034 2.1959 0.8441
-3.8034 2.1959 0.8441
0.0000 -4.3918 0.8441
Be Al
3 1
direct
0.0000 0.5000 0.5000
0.5000 0.0000 0.5000
0.5000 0.5000 0.0000
0.0000 0.0000 0.0000
```